[1]
This record from Alexandria via LeMat-Bulk describes RbCd3Ag after structural relaxation. The functional is PBEsol.

Output
The total magnetic moment comes out at 0.000 μB/f.u. The calculation puts the energy relative to the elements at 83 meV per atom. The symmetry is Pm-3m (221). The value obtained for the density of states at the Fermi level is 2.11 states/eV/cell.

Cell: 5.307 5.307 5.307 Å, 90.00 90.00 90.00°
Sites, in units of the cell vectors:
Rb 0.500 0.500 0.500
Ag 0.000 0.000 0.000
Cd 0.000 0.500 0.000
Cd 0.000 0.000 0.500
Cd 0.500 0.000 0.000

[2]
This record from Alexandria via LeMat-Bulk describes Y2ScPt after structural relaxation. The functional is PBEsol.

Output
The total magnetic moment comes out at 0.001 μB/f.u. The calculation puts the energy relative to the elements at -576 meV per atom. The symmetry is Amm2 (38). The distance to the lowest polymorph of the same formula comes out at 46.5 meV/atom. The value obtained for the density of states at the Fermi level is 4.66 states/eV/cell.

Cell: 3.637 4.652 6.366 Å, 111.43 90.00 90.00°
Sites, in units of the cell vectors:
Pt 0.000 0.845 0.690
Sc 0.500 0.688 0.376
Y 0.000 0.078 0.157
Y 0.500 0.389 0.777

What is the formula in the first record?
RbCd3Ag